## Ac4TlSbSe2 (GGA-PBE)

Data for a geometry-optimized Ac4TlSbSe2 structure.

```
Ac4TlSbSe2
1.0
-1.619 -2.567 -3.460
0.277 -6.522 4.709
-7.120 -0.775 3.907
Ac Tl Sb Se
4 1 1 2
Direct
0.000 0.757 0.747
0.000 0.243 0.253
0.500 0.760 0.245
0.500 0.240 0.755
0.000 0.500 0.500
0.500 0.500 0.000
0.000 0.000 0.000
0.500 0.000 0.500
```

Results
uncorrected formation energy: -1.29 eV/atom
total moment: 0.0 μB/f.u.
energy: -5.026 eV/atom